# 1
Entry from Alexandria: AlPt3Rh after structural relaxation (PBE).

- total magnetization (μB per cell) = 1.39
- space group = Pm-3m
- crystal system = cubic
- VASP energy (eV per atom) = -4.66
- ΔH_f (0 K) (eV/atom) = 1.182
- relative energy among the computed polymorphs (meV/atom) = 1684

Lattice parameters (Å, degrees): 4.813 4.813 4.813 90.00 90.00 90.00
Site moments in Bohr magnetons follow the coordinates.
Sites, in units of the cell vectors:
Rh  0.000  0.000  0.000  0.72
Al  0.500  0.500  0.500  -0.02
Pt  0.000  0.500  0.000  0.19
Pt  0.000  0.000  0.500  0.45
Pt  0.500  0.000  0.000  0.06

# 2
Entry from Alexandria: BeCu2Mo after structural relaxation (PBE).

- total magnetization (μB per cell) = 0.00
- space group = P4mm
- crystal system = tetragonal
- VASP energy (eV per atom) = -5.66
- ΔH_f (0 K) (eV/atom) = 0.023

Lattice parameters (Å, degrees): 2.656 2.656 6.772 90.00 90.00 90.00
Sites, in units of the cell vectors:
Be  0.500  0.500  0.777
Mo  0.000  0.000  0.523
Cu  0.000  0.000  0.971
Cu  0.500  0.500  0.230

# 3
Entry from Alexandria: PuTh2N3 after structural relaxation (PBE).

- total magnetization (μB per cell) = 5.27
- formation energy from raw total energies (eV/atom) = -1.4530
- space group = Immm
- crystal system = orthorhombic
- VASP energy (eV per atom) = -10.48

Lattice parameters (Å, degrees): 3.627 5.100 6.260 114.04 106.84 90.00
Site moments in Bohr magnetons follow the coordinates.
Sites, in units of the cell vectors:
Pu  0.000  0.500  0.000  4.91
Th  0.334  0.834  0.668  0.12
Th  0.666  0.166  0.332  0.12
N  0.664  0.664  0.328  -0.07
N  0.000  0.000  0.000  -0.08
N  0.336  0.336  0.672  -0.07

# 4
Entry from Alexandria: Ca2HfB2Rh5 after structural relaxation (PBE).

- total magnetization (μB per cell) = 0.00
- space group = P4/mbm
- crystal system = tetragonal
- VASP energy (eV per atom) = -7.05
- ΔH_f (0 K) (eV/atom) = -0.644

Lattice parameters (Å, degrees): 3.070 9.882 9.882 90.00 90.00 90.00
Sites, in units of the cell vectors:
Ca  0.000  0.676  0.176
Ca  0.000  0.324  0.824
Ca  0.000  0.176  0.324
Ca  0.000  0.824  0.676
Hf  0.000  0.000  0.000
Hf  0.000  0.500  0.500
B  0.000  0.120  0.620
B  0.000  0.880  0.380
B  0.000  0.620  0.880
B  0.000  0.380  0.120
Rh  0.500  0.224  0.071
Rh  0.500  0.776  0.929
Rh  0.500  0.071  0.776
Rh  0.500  0.724  0.429
Rh  0.500  0.929  0.224
Rh  0.500  0.276  0.571
Rh  0.500  0.571  0.724
Rh  0.500  0.429  0.276
Rh  0.500  0.500  0.000
Rh  0.500  0.000  0.500

# 5
Entry from Alexandria: CrCd4Se after structural relaxation (PBE).

- total magnetization (μB per cell) = 4.47
- formation energy from raw total energies (eV/atom) = 0.3821
- space group = F-43m
- crystal system = cubic
- VASP energy (eV per atom) = -2.41

Lattice parameters (Å, degrees): 5.788 5.788 5.788 60.00 60.00 60.00
Site moments in Bohr magnetons follow the coordinates.
Sites, in units of the cell vectors:
Cr  0.750  0.750  0.750  4.01
Cd  0.875  0.375  0.375  -0.02
Cd  0.375  0.375  0.875  -0.02
Cd  0.375  0.875  0.375  -0.02
Cd  0.375  0.375  0.375  -0.02
Se  0.000  0.000  0.000  -0.01

# 6
Entry from Alexandria: LiLa3Tm2Se6 after structural relaxation (PBE).

- total magnetization (μB per cell) = 0.00
- formation energy from raw total energies (eV/atom) = -1.8221
- space group = C2/m
- crystal system = monoclinic
- VASP energy (eV per atom) = -5.70

Lattice parameters (Å, degrees): 7.163 7.163 7.275 99.45 99.45 120.09
Sites, in units of the cell vectors:
Li  0.000  0.000  0.000
La  0.166  0.834  0.500
La  0.834  0.166  0.500
La  0.500  0.500  0.500
Tm  0.334  0.666  0.000
Tm  0.666  0.334  0.000
Se  0.925  0.596  0.775
Se  0.746  0.746  0.223
Se  0.075  0.404  0.225
Se  0.596  0.925  0.775
Se  0.254  0.254  0.777
Se  0.404  0.075  0.225

# 7
Entry from Alexandria: NdEuPtPb after structural relaxation (PBE).

- total magnetization (μB per cell) = 6.92
- space group = F-43m
- crystal system = cubic
- VASP energy (eV per atom) = -6.83
- ΔH_f (0 K) (eV/atom) = -0.637

Lattice parameters (Å, degrees): 5.355 5.355 5.355 60.00 60.00 60.00
Site moments in Bohr magnetons follow the coordinates.
Sites, in units of the cell vectors:
Pb  0.250  0.250  0.250  -0.01
Eu  0.000  0.000  0.000  6.78
Nd  0.500  0.500  0.500  0.00
Pt  0.750  0.750  0.750  -0.03

# 8
Entry from Alexandria: CsSi3Tc after structural relaxation (PBE).

- total magnetization (μB per cell) = 0.00
- formation energy from raw total energies (eV/atom) = 0.2992
- space group = Pm-3m
- crystal system = cubic
- VASP energy (eV per atom) = -5.20
- relative energy among the computed polymorphs (meV/atom) = 0

Lattice parameters (Å, degrees): 4.805 4.805 4.805 90.00 90.00 90.00
Sites, in units of the cell vectors:
Cs  0.500  0.500  0.500
Si  0.000  0.500  0.000
Si  0.000  0.000  0.500
Si  0.500  0.000  0.000
Tc  0.000  0.000  0.000

# 9
Entry from Alexandria: Li2BiAs after structural relaxation (PBE).

- total magnetization (μB per cell) = 0.00
- space group = I-42d
- crystal system = tetragonal
- VASP energy (eV per atom) = -3.27
- ΔH_f (0 K) (eV/atom) = -0.179
- relative energy among the computed polymorphs (meV/atom) = 210

Lattice parameters (Å, degrees): 7.812 7.812 6.239 51.24 51.24 90.00
Sites, in units of the cell vectors:
As  0.500  0.500  0.000
As  0.250  0.750  0.500
Bi  0.000  0.000  0.000
Bi  0.750  0.250  0.500
Li  0.572  0.125  0.250
Li  0.178  0.625  0.250
Li  0.375  0.428  0.750
Li  0.875  0.822  0.750

# 10
Entry from Alexandria: LaTb6Nd6 after structural relaxation (PBE).

- total magnetization (μB per cell) = 0.00
- space group = P6/mmm
- crystal system = hexagonal
- VASP energy (eV per atom) = -4.47
- ΔH_f (0 K) (eV/atom) = 0.243

Lattice parameters (Å, degrees): 6.753 6.753 11.575 90.00 90.00 120.00
Sites, in units of the cell vectors:
La  0.000  0.000  0.000
Tb  0.000  0.500  0.751
Tb  0.500  0.000  0.751
Tb  0.500  0.500  0.751
Tb  0.500  0.000  0.249
Tb  0.000  0.500  0.249
Tb  0.500  0.500  0.249
Nd  0.000  0.000  0.649
Nd  0.000  0.000  0.351
Nd  0.333  0.667  0.000
Nd  0.667  0.333  0.000
Nd  0.333  0.667  0.500
Nd  0.667  0.333  0.500

# 11
Entry from Alexandria: Ca2TcOs after structural relaxation (PBE).

- total magnetization (μB per cell) = 0.26
- space group = R-3m
- crystal system = trigonal
- VASP energy (eV per atom) = -5.56
- ΔH_f (0 K) (eV/atom) = 0.835
- relative energy among the computed polymorphs (meV/atom) = 576

Lattice parameters (Å, degrees): 9.897 9.897 9.897 17.58 17.58 17.58
Site moments in Bohr magnetons follow the coordinates.
Sites, in units of the cell vectors:
Ca  0.998  0.998  0.998  -0.01
Ca  0.502  0.502  0.502  -0.01
Os  0.250  0.250  0.250  -0.03
Tc  0.750  0.750  0.750  0.30

# 12
Entry from Alexandria: Zr5Cu2H after structural relaxation (PBE).

- total magnetization (μB per cell) = 0.00
- space group = Cm
- crystal system = monoclinic
- VASP energy (eV per atom) = -6.84

Lattice parameters (Å, degrees): 6.190 6.188 5.847 122.94 121.03 89.99
Sites, in units of the cell vectors:
Zr  0.606  0.256  0.861
Zr  0.244  0.288  0.152
Zr  0.865  0.908  0.152
Zr  0.247  0.613  0.861
Zr  0.755  0.755  0.509
Cu  0.233  0.775  0.512
Cu  0.735  0.277  0.509
H  0.093  0.905  0.997